A geometry-optimized La2WSe structure. Source: Alexandria via LeMat-Bulk, functional PBE-GGA.

formation energy without anion corrections = -0.151 eV per atom
SG = No. 12
total DFT energy (no corrections) = -6.724 eV per atom
energy above the most stable polymorph in this dataset = 0.136 eV/atom
magnetization = 1.0 μB per formula unit

Structure (extended XYZ):
```
4
Lattice="3.980 -0.013 0.008 2.024 3.427 0.008 1.916 1.089 8.236" Properties=species:S:1:pos:R:3 pbc="T T T"
La 1.932 1.098 8.234
La 3.945 2.243 4.129
Se 5.940 3.377 6.189
W 1.980 1.126 2.063
```

=====

A geometry-optimized Tl2GeSb structure. Source: Alexandria via LeMat-Bulk, functional PBE-GGA.

formation energy without anion corrections = 0.270 eV per atom
SG = No. 225
total DFT energy (no corrections) = -3.098 eV per atom
energy above the most stable polymorph in this dataset = 0.005 eV/atom
magnetization = 0.0 μB per formula unit

Structure (extended XYZ):
```
4
Lattice="5.306 -0.842 0.072 2.309 -2.224 4.311 1.930 -5.007 -0.268" Properties=species:S:1:pos:R:3 pbc="T T T"
Sb 4.772 -4.036 2.058
Tl 2.386 -2.018 1.029
Tl 7.158 -6.054 3.087
Ge 0.000 0.000 0.000
```

=====

A geometry-optimized Pm2HoPO8 structure. Source: Alexandria via LeMat-Bulk, functional PBE-GGA.

formation energy without anion corrections = -2.384 eV per atom
SG = No. 164
total DFT energy (no corrections) = -7.314 eV per atom
magnetization = 2.0 μB per formula unit

Structure (extended XYZ):
```
12
Lattice="5.212 0.000 0.000 -2.606 4.514 0.000 0.000 0.000 6.185" Properties=species:S:1:pos:R:3 pbc="T T T"
Pm 2.606 1.505 0.845
Pm 0.000 3.009 5.339
Ho 0.000 0.000 3.092
P 0.000 0.000 0.000
O 2.606 3.135 5.169
O 1.194 0.689 5.169
O 4.018 0.689 5.169
O 0.000 1.378 1.016
O 1.412 3.825 1.016
O -1.412 3.825 1.016
O 2.606 1.505 2.967
O 0.000 3.009 3.218
```

=====

A geometry-optimized TlHPd structure. Source: Alexandria via LeMat-Bulk, functional PBE-GGA.

SG = No. 11
total DFT energy (no corrections) = -3.720 eV per atom
energy above the most stable polymorph in this dataset = 0.000 eV/atom
magnetization = 0.0 μB per formula unit

Structure (extended XYZ):
```
6
Lattice="-1.258 3.592 -0.902 -0.449 -1.079 -3.671 -6.569 -1.954 1.382" Properties=species:S:1:pos:R:3 pbc="T T T"
Tl -6.756 0.256 -2.280
Tl -1.521 0.304 -0.911
H -4.286 0.992 -2.796
H -3.991 -0.432 -0.395
Pd -4.318 1.454 -0.908
Pd -3.959 -0.895 -2.283
```

=====

A geometry-optimized Cs3TeF structure. Source: Alexandria via LeMat-Bulk, functional PBE-GGA.

formation energy without anion corrections = -1.683 eV per atom
SG = No. 167
total DFT energy (no corrections) = -3.198 eV per atom
energy above the most stable polymorph in this dataset = 0.000 eV/atom
magnetization = 0.0 μB per formula unit

Structure (extended XYZ):
```
10
Lattice="4.852 0.000 6.787 -2.426 4.202 6.787 -2.426 -4.202 6.787" Properties=species:S:1:pos:R:3 pbc="T T T"
Cs -2.426 0.242 11.803
Cs -1.003 2.222 8.410
Cs -1.423 -1.979 8.410
Cs 2.425 -0.242 8.410
Cs 1.423 1.980 11.803
Cs 1.003 -2.222 11.803
Te 0.000 0.000 5.016
Te 0.000 0.000 15.196
F 0.000 0.000 20.284
F 0.000 0.000 10.104
```

=====

A geometry-optimized ZnSiI2O structure. Source: Alexandria via LeMat-Bulk, functional PBE-GGA.

formation energy without anion corrections = 0.129 eV per atom
SG = No. 123
total DFT energy (no corrections) = -2.822 eV per atom
energy above the most stable polymorph in this dataset = 0.432 eV/atom
magnetization = 0.0 μB per formula unit

Structure (extended XYZ):
```
5
Lattice="5.713 0.000 0.000 0.000 5.713 0.000 0.000 0.000 3.706" Properties=species:S:1:pos:R:3 pbc="T T T"
I 0.000 2.856 0.000
I 2.856 0.000 0.000
Zn 0.000 0.000 0.000
Si 2.856 2.856 1.853
O 0.000 0.000 1.853
```

=====

A geometry-optimized Li2Ce2MgN4 structure. Source: Alexandria via LeMat-Bulk, functional PBE-GGA.

formation energy without anion corrections = -0.880 eV per atom
SG = No. 12
total DFT energy (no corrections) = -6.501 eV per atom
magnetization = 0.0 μB per formula unit

Structure (extended XYZ):
```
9
Lattice="3.229 0.000 0.000 -1.614 6.222 0.537 0.000 -1.671 5.367" Properties=species:S:1:pos:R:3 pbc="T T T"
Li 0.000 2.420 5.489
Li 1.614 2.132 0.414
Ce 1.614 3.869 2.722
Ce 0.000 0.682 3.182
Mg 0.000 0.000 0.000
N 1.614 2.157 4.241
N 0.000 2.394 1.663
N 0.000 5.374 1.777
N 1.614 -0.822 4.127
```

=====

A geometry-optimized Nb5Sn2B2 structure. Source: Alexandria via LeMat-Bulk, functional PBE-GGA.

formation enthalpy at 0 K = -0.36 eV/atom
SG = No. 64
total DFT energy (no corrections) = -8.324 eV per atom
magnetization = 0.0 μB per formula unit

Structure (extended XYZ):
```
18
Lattice="-2.970 -1.854 5.423 5.570 0.344 3.168 -2.824 5.932 4.322" Properties=species:S:1:pos:R:3 pbc="T T T"
Nb 0.000 0.000 0.000
Nb 1.300 -0.755 4.296
Nb -2.497 3.956 6.327
Nb 0.009 3.527 10.235
Nb 0.736 4.407 7.092
Nb -3.224 3.076 9.470
Nb 2.273 0.466 6.587
Nb -0.234 0.895 2.679
Nb -0.961 0.015 5.821
Nb 3.000 1.346 3.444
Sn -2.216 2.816 3.591
Sn -0.916 2.061 7.886
Sn -3.579 1.262 6.155
Sn 0.692 2.361 5.027
B 1.900 -0.059 1.832
B 0.700 -1.451 6.760
B 3.827 -0.423 4.982
B -1.227 -1.087 3.610
```

=====

A geometry-optimized CaTa2TiTc structure. Source: Alexandria via LeMat-Bulk, functional PBE-GGA.

formation enthalpy at 0 K = 1.10 eV/atom
SG = No. 123
total DFT energy (no corrections) = -7.693 eV per atom
magnetization = 0.0 μB per formula unit

Structure (extended XYZ):
```
5
Lattice="-2.167 1.088 4.226 -2.202 -4.346 -0.011 3.559 -1.809 2.291" Properties=species:S:1:pos:R:3 pbc="T T T"
Ca -0.405 -2.534 3.253
Ti 0.000 0.000 0.000
Tc 1.780 -0.904 1.145
Ta -1.101 -2.173 -0.005
Ta -1.084 0.544 2.113
```

=====

A geometry-optimized Ac3Ga9Hg2 structure. Source: Alexandria via LeMat-Bulk, functional PBE-GGA.

formation enthalpy at 0 K = -0.45 eV/atom
SG = No. 71
total DFT energy (no corrections) = -3.319 eV per atom
magnetization = 0.0 μB per formula unit

Structure (extended XYZ):
```
14
Lattice="-1.109 2.782 -3.346 -2.641 -5.464 -6.682 -9.014 -0.343 -0.311" Properties=species:S:1:pos:R:3 pbc="T T T"
Ac 0.000 0.000 0.000
Ac -4.512 0.010 -4.522
Ac -8.252 -3.035 -5.816
Ga -5.827 -2.904 -3.496
Ga -9.633 -3.622 -8.859
Ga -3.131 0.597 -1.480
Ga -11.245 -2.327 -7.248
Ga -1.519 -0.698 -3.090
Ga -7.072 -2.653 -8.902
Ga -5.692 -0.372 -1.436
Ga -10.065 -0.248 -5.910
Ga -2.699 -2.777 -4.428
Hg -7.803 -0.371 -3.749
Hg -4.961 -2.654 -6.589
```

=====

A geometry-optimized YHoSiAu structure. Source: Alexandria via LeMat-Bulk, functional PBE-GGA.

formation energy without anion corrections = -0.669 eV per atom
SG = No. 216
total DFT energy (no corrections) = -5.605 eV per atom
magnetization = 0.3 μB per formula unit

Structure (extended XYZ):
```
4
Lattice="5.040 0.000 0.000 2.520 4.365 0.000 2.520 1.455 4.115" Properties=species:S:1:pos:R:3 pbc="T T T"
Y 5.040 2.910 2.058
Si 7.560 4.365 3.086
Au 2.520 1.455 1.029
Ho 0.000 0.000 0.000
```

=====

A geometry-optimized NaZrRu3 structure. Source: Alexandria via LeMat-Bulk, functional PBE-GGA.

formation enthalpy at 0 K = 1.43 eV/atom
SG = No. 221
total DFT energy (no corrections) = -6.105 eV per atom
energy above the most stable polymorph in this dataset = 0.000 eV/atom
magnetization = 3.7 μB per formula unit

Structure (extended XYZ):
```
5
Lattice="4.895 0.000 0.000 0.000 4.895 0.000 0.000 0.000 4.895" Properties=species:S:1:pos:R:3 pbc="T T T"
Ru 0.000 2.447 0.000
Ru 0.000 0.000 2.447
Ru 2.447 0.000 0.000
Zr 0.000 0.000 0.000
Na 2.447 2.447 2.447
```